{
  "formula": "NaMnPbF6",
  "functional": "GGA+U",
  "state": "relaxed",
  "lattice": [[5.5907, 0.0000, 0.0000], [-2.7954, 4.8417, 0.0000], [0.0000, 0.0000, 5.1068]],
  "species": ["Na", "Mn", "Pb", "F", "F", "F", "F", "F", "F"],
  "frac_coords": [[0.0000, 0.0000, 0.0000], [0.3333, 0.6667, 0.0000], [0.6667, 0.3333, 0.5000], [0.0508, 0.3807, 0.2140], [0.0508, 0.6701, 0.7860], [0.3299, 0.3807, 0.7860], [0.3299, 0.9492, 0.2140], [0.6193, 0.6701, 0.2140], [0.6193, 0.9492, 0.7860]],
  "final_energy_ha_per_atom": -0.1816,
  "sg": "No. 149",
  "dos_at_fermi_per_ev_cell": 6.889
}